The following is a meta-GGA SCAN calculation of a crystal of CoAs2PtSe relaxed with PBEsol, from Alexandria.

The density of states at the Fermi level is 2.8 states/eV/cell. For the volume, the calculation gives 17.79 A^3/atom. Its uncorrected formation energy is 3.1 eV/f.u.

The structure belongs to space group P4/mmm (No. 123); the cell edges are 4.336, 4.336 and 4.732 Å and the angles 90.00°, 90.00° and 90.00°. Symmetry generates all atoms from Co at (0.000, 0.000, 0.000), As at (0.000, 0.500, 0.000), Pt at (0.500, 0.500, 0.500) and Se at (0.000, 0.000, 0.500).